Model w:
The following is a GGA-PBE calculation of a relaxed structure of ZnW2Br, from the Alexandria database.

Summary:
- Density of states at the Fermi level: 1.667 states/eV/f.u.

Structure (extended XYZ):
```
4
Lattice="4.691 0.000 0.000 0.000 3.846 0.000 0.000 0.000 3.846" Properties=species:S:1:pos:R:3 pbc="T T T"
Zn 2.346 1.923 0.000
W 0.000 0.000 0.000
W 0.000 1.923 1.923
Br 2.346 0.000 1.923
```


Model x:
The following is a GGA-PBE calculation of a relaxed structure of ZnW2Br, from the Alexandria database.

Summary:
- Density of states at the Fermi level: 2.978 states/eV/f.u.

Structure (extended XYZ):
```
4
Lattice="-3.173 -0.369 -0.076 0.376 -3.145 -0.418 -0.067 -1.062 7.935" Properties=species:S:1:pos:R:3 pbc="T T T"
W -1.413 -1.994 1.523
W -0.003 -0.054 0.403
Br -1.452 -2.612 6.141
Zn -0.028 -0.447 3.342
```


Short version: model x is the most stable of them.


Model w:
The following is a GGA-PBE calculation of a relaxed structure of ZnW2Br, from the Alexandria database.

Summary:
- Density of states at the Fermi level: 2.994 states/eV/f.u.

Structure (extended XYZ):
```
4
Lattice="2.951 -0.001 0.000 -1.213 2.690 0.000 0.000 0.000 9.350" Properties=species:S:1:pos:R:3 pbc="T T T"
Zn 0.000 0.000 4.384
W 0.869 1.344 2.203
W 0.000 0.000 0.191
Br 0.869 1.344 7.246
```


Model x:
The following is a GGA-PBE calculation of a relaxed structure of ZnW2Br, from the Alexandria database.

Summary:
- Density of states at the Fermi level: 2.199 states/eV/f.u.

Structure (extended XYZ):
```
4
Lattice="-2.103 2.920 -3.022 -2.947 -1.339 0.757 0.234 3.825 3.534" Properties=species:S:1:pos:R:3 pbc="T T T"
Br -3.086 3.325 1.708
W -1.562 0.867 1.925
W -2.742 -0.963 0.977
Zn -1.730 2.082 -0.438
```


Model y:
The following is a GGA-PBE calculation of a relaxed structure of ZnW2Br, from the Alexandria database.

Summary:
- Density of states at the Fermi level: 3.228 states/eV/f.u.

Structure (extended XYZ):
```
8
Lattice="-0.258 3.379 1.879 0.968 -1.767 3.310 9.872 2.559 0.748" Properties=species:S:1:pos:R:3 pbc="T T T"
Br 4.984 3.372 2.611
Br 0.000 0.000 0.000
Zn 5.597 0.799 3.326
Zn 0.355 0.806 2.595
W 2.437 2.412 1.709
W 3.031 0.077 2.557
W 7.991 3.392 4.985
W 7.704 2.462 2.623
```


Short version: model w is the most stable of them.


Model w:
The following is a GGA-PBE calculation of a relaxed structure of ZnW2Br, from the Alexandria database.

Summary:
- Density of states at the Fermi level: 1.787 states/eV/f.u.

Structure (extended XYZ):
```
4
Lattice="-3.484 -1.465 2.747 -0.876 -3.947 -2.342 4.230 1.188 1.588" Properties=species:S:1:pos:R:3 pbc="T T T"
Zn -2.180 -2.706 0.203
W 0.587 -2.732 -0.275
W 0.000 0.000 0.000
Br -0.717 -1.491 2.269
```


Model x:
The following is a GGA-PBE calculation of a relaxed structure of ZnW2Br, from the Alexandria database.

Summary:
- Density of states at the Fermi level: 3.738 states/eV/f.u.

Structure (extended XYZ):
```
4
Lattice="-5.073 -2.726 -0.124 4.858 -2.590 1.695 -0.515 -0.983 2.887" Properties=species:S:1:pos:R:3 pbc="T T T"
Zn -2.794 -1.855 1.382
W -0.108 -2.658 0.786
W 0.000 0.000 0.000
Br 2.171 -1.787 2.291
```


Model y:
The following is a GGA-PBE calculation of a relaxed structure of ZnW2Br, from the Alexandria database.

Summary:
- Density of states at the Fermi level: 3.037 states/eV/f.u.

Structure (extended XYZ):
```
4
Lattice="-2.271 1.901 0.249 -2.972 -3.684 1.022 -1.184 -2.105 5.264" Properties=species:S:1:pos:R:3 pbc="T T T"
W 0.000 0.000 0.000
W -2.621 -0.892 0.636
Br -0.592 -1.052 2.632
Zn -3.213 -1.944 3.268
```


Short version: model y is the most stable of them.


Model w:
The following is a GGA-PBE calculation of a relaxed structure of ZnWBr3, from the Alexandria database.

Summary:
- Density of states at the Fermi level: 3.408 states/eV/f.u.

Structure (extended XYZ):
```
5
Lattice="-1.669 2.780 4.134 -4.817 0.211 -2.086 -1.269 -4.453 2.482" Properties=species:S:1:pos:R:3 pbc="T T T"
Br -2.409 0.105 -1.043
Br -0.635 -2.227 1.241
Br -0.834 1.390 2.067
W 0.000 0.000 0.000
Zn -3.878 -0.731 2.265
```


Model x:
The following is a GGA-PBE calculation of a relaxed structure of ZnWBr3, from the Alexandria database.

Summary:
- Density of states at the Fermi level: 6.730 states/eV/f.u.

Structure (extended XYZ):
```
5
Lattice="5.130 0.000 0.000 0.000 5.130 0.000 0.000 0.000 5.130" Properties=species:S:1:pos:R:3 pbc="T T T"
Br 0.000 2.565 0.000
Br 2.565 0.000 0.000
Br 0.000 0.000 2.565
Zn 0.000 0.000 0.000
W 2.565 2.565 2.565
```


Short version: model w is the most stable of them.